Entry 1:
Below is an optimized crystal structure of Li2NiRh, with properties calculated at the GGA-PBEsol level.

Output
The calculation puts the uncorrected energy at -4.615 eV/atom. For the formation enthalpy at 0 K, the calculation gives -0.057 eV/atom. Its polymorph energy (0 for the lowest one) is 33 meV/atom. Its total moment is 0.0 μB per formula unit.

abc: 2.522 4.607 4.791
angles: 115.20 105.26 90.00
Atoms (fractional coordinates):
Ni (0.504, 0.608, 0.008)
Rh (0.240, 0.643, 0.480)
Li (0.997, 0.086, 0.993)
Li (0.759, 0.164, 0.518)



Entry 2:
Below is an optimized crystal structure of Li2NiRh, with properties calculated at the GGA-PBEsol level.

Output
The calculation puts the uncorrected energy at -4.598 eV/atom. For the formation enthalpy at 0 K, the calculation gives -0.041 eV/atom. Its polymorph energy (0 for the lowest one) is 49 meV/atom. Its total moment is 0.0 μB per formula unit.

abc: 2.571 2.571 8.575
angles: 81.38 81.38 60.00
Atoms (fractional coordinates):
Ni (0.500, 0.500, 0.500)
Rh (0.000, 0.000, 0.000)
Li (0.248, 0.248, 0.255)
Li (0.752, 0.752, 0.745)



Entry 3:
Below is an optimized crystal structure of LiNiRh3, with properties calculated at the GGA-PBEsol level.

Output
The calculation puts the uncorrected energy at -5.430 eV/atom. For the formation enthalpy at 0 K, the calculation gives 1.078 eV/atom. Its total moment is 3.2 μB per formula unit.

abc: 4.429 4.429 4.429
angles: 90.00 90.00 90.00
Each line ends with the local moment (μB).
Atoms (fractional coordinates):
Ni (0.000, 0.000, 0.000)  0.85
Rh (0.000, 0.500, 0.000)  0.81
Rh (0.000, 0.000, 0.500)  0.81
Rh (0.500, 0.000, 0.000)  0.81
Li (0.500, 0.500, 0.500)  0.00



Entry 4:
Below is an optimized crystal structure of Li2NiRh, with properties calculated at the GGA-PBEsol level.

Output
The calculation puts the uncorrected energy at -4.634 eV/atom. For the formation enthalpy at 0 K, the calculation gives -0.077 eV/atom. Its polymorph energy (0 for the lowest one) is 13 meV/atom. Its total moment is 0.0 μB per formula unit.

abc: 2.607 4.241 4.327
angles: 90.00 90.02 90.00
Atoms (fractional coordinates):
Ni (0.624, 0.000, 0.588)
Rh (0.125, 0.500, 0.662)
Li (0.125, 0.000, 0.080)
Li (0.625, 0.500, 0.170)



Entry 5:
Below is an optimized crystal structure of Li2NiRh, with properties calculated at the GGA-PBEsol level.

Output
The calculation puts the uncorrected energy at -4.647 eV/atom. For the formation enthalpy at 0 K, the calculation gives -0.090 eV/atom. Its polymorph energy (0 for the lowest one) is 0 meV/atom. Its total moment is 0.0 μB per formula unit.

abc: 2.553 4.394 4.509
angles: 100.99 106.44 90.00
Atoms (fractional coordinates):
Ni (0.500, 0.000, 0.000)
Rh (0.000, 0.500, 0.000)
Li (0.245, 0.248, 0.491)
Li (0.755, 0.752, 0.509)



Entry 6:
Below is an optimized crystal structure of LiNiRu2, with properties calculated at the GGA-PBEsol level.

Output
The calculation puts the uncorrected energy at -6.741 eV/atom. For the formation enthalpy at 0 K, the calculation gives 0.376 eV/atom. Its polymorph energy (0 for the lowest one) is 126 meV/atom. Its total moment is 0.0 μB per formula unit.

abc: 4.046 4.046 4.046
angles: 60.00 60.00 60.00
Atoms (fractional coordinates):
Li (0.000, 0.000, 0.000)
Ni (0.500, 0.500, 0.500)
Ru (0.750, 0.750, 0.750)
Ru (0.250, 0.250, 0.250)



Entry 7:
Below is an optimized crystal structure of LiNiRu2, with properties calculated at the GGA-PBEsol level.

Output
The calculation puts the uncorrected energy at -6.867 eV/atom. For the formation enthalpy at 0 K, the calculation gives 0.250 eV/atom. Its polymorph energy (0 for the lowest one) is 0 meV/atom. Its total moment is 0.3 μB per formula unit.

abc: 2.600 2.600 8.791
angles: 81.49 81.49 60.00
Each line ends with the local moment (μB).
Atoms (fractional coordinates):
Li (0.500, 0.500, 0.500)  0.00
Ni (0.000, 0.000, 0.000)  0.16
Ru (0.255, 0.255, 0.235)  0.05
Ru (0.745, 0.745, 0.765)  0.05



Entry 8:
Below is an optimized crystal structure of LiScNi2Ru, with properties calculated at the GGA-PBEsol level.

Output
The calculation puts the uncorrected energy at -5.578 eV/atom. For the formation enthalpy at 0 K, the calculation gives 0.634 eV/atom. Its total moment is 0.7 μB per formula unit.

abc: 3.860 3.860 4.286
angles: 90.00 90.00 90.00
Each line ends with the local moment (μB).
Atoms (fractional coordinates):
Sc (0.000, 0.000, 0.500)  -0.03
Ru (0.500, 0.500, 0.500)  0.42
Li (0.000, 0.000, 0.000)  -0.01
Ni (0.000, 0.500, 0.000)  0.18
Ni (0.500, 0.000, 0.000)  0.18



Entry 9:
Below is an optimized crystal structure of LiNiS2, with properties calculated at the GGA-PBEsol level.

Output
The calculation puts the uncorrected energy at -4.916 eV/atom. The value obtained for the formation energy (no corrections) is -693 meV/atom. Its total moment is 0.0 μB per formula unit.

abc: 3.369 3.369 5.702
angles: 90.00 90.00 120.00
Atoms (fractional coordinates):
Ni (0.000, 0.000, 0.500)
S (0.333, 0.667, 0.710)
S (0.667, 0.333, 0.290)
Li (0.000, 0.000, 0.000)



Entry 10:
Below is an optimized crystal structure of LiNi2S2, with properties calculated at the GGA-PBEsol level.

Output
The calculation puts the uncorrected energy at -5.305 eV/atom. The value obtained for the formation energy (no corrections) is -695 meV/atom. Its polymorph energy (0 for the lowest one) is 0 meV/atom. Its total moment is 0.0 μB per formula unit.

abc: 5.918 6.802 7.372
angles: 117.48 90.00 90.00
Atoms (fractional coordinates):
Li (0.500, 0.251, 0.000)
Li (0.000, 0.251, 0.500)
Li (0.000, 0.749, 0.500)
Li (0.500, 0.749, 0.000)
Ni (0.642, 0.068, 0.636)
Ni (0.858, 0.068, 0.136)
Ni (0.143, 0.432, 0.864)
Ni (0.357, 0.432, 0.364)
Ni (0.643, 0.568, 0.636)
Ni (0.857, 0.568, 0.136)
Ni (0.142, 0.932, 0.864)
Ni (0.358, 0.932, 0.364)
S (0.274, 0.095, 0.690)
S (0.226, 0.095, 0.190)
S (0.774, 0.405, 0.810)
S (0.726, 0.405, 0.310)
S (0.274, 0.595, 0.690)
S (0.226, 0.595, 0.190)
S (0.774, 0.905, 0.810)
S (0.726, 0.905, 0.310)



Entry 11:
Below is an optimized crystal structure of LiNi2S2, with properties calculated at the GGA-PBEsol level.

Output
The calculation puts the uncorrected energy at -5.263 eV/atom. The value obtained for the formation energy (no corrections) is -653 meV/atom. Its polymorph energy (0 for the lowest one) is 42 meV/atom. Its total moment is 0.0 μB per formula unit.

abc: 3.612 3.612 6.038
angles: 90.00 90.00 120.00
Atoms (fractional coordinates):
Ni (0.667, 0.333, 0.629)
Ni (0.333, 0.667, 0.371)
S (0.667, 0.333, 0.259)
S (0.333, 0.667, 0.741)
Li (0.000, 0.000, 0.000)



Entry 12:
Below is an optimized crystal structure of Li3NiS, with properties calculated at the GGA-PBEsol level.

Output
The calculation puts the uncorrected energy at -3.078 eV/atom. The value obtained for the formation energy (no corrections) is 210 meV/atom. Its total moment is 0.6 μB per formula unit.

abc: 4.350 4.350 4.350
angles: 90.00 90.00 90.00
Each line ends with the local moment (μB).
Atoms (fractional coordinates):
Ni (0.000, 0.000, 0.000)  0.46
S (0.500, 0.500, 0.500)  0.09
Li (0.000, 0.500, 0.000)  0.00
Li (0.000, 0.000, 0.500)  0.00
Li (0.500, 0.000, 0.000)  0.00



Entry 13:
Below is an optimized crystal structure of LiNiSb, with properties calculated at the GGA-PBEsol level.

Output
The calculation puts the uncorrected energy at -4.195 eV/atom. The value obtained for the formation energy (no corrections) is 32 meV/atom. Its total moment is 0.0 μB per formula unit.

abc: 3.179 3.179 6.124
angles: 90.00 90.00 120.00
Atoms (fractional coordinates):
Sb (0.667, 0.333, 0.374)
Ni (0.333, 0.667, 0.649)
Li (0.000, 0.000, 0.976)



Entry 14:
Below is an optimized crystal structure of Li2NiSb, with properties calculated at the GGA-PBEsol level.

Output
The calculation puts the uncorrected energy at -3.704 eV/atom. The value obtained for the formation energy (no corrections) is -42 meV/atom. Its total moment is 0.0 μB per formula unit.

abc: 4.816 5.804 5.804
angles: 80.09 65.49 65.49
Atoms (fractional coordinates):
Sb (0.000, 0.000, 0.000)
Sb (0.750, 0.500, 0.500)
Li (0.575, 0.050, 0.550)
Li (0.175, 0.950, 0.450)
Li (0.375, 0.450, 0.050)
Li (0.875, 0.550, 0.950)
Ni (0.500, 0.000, 0.000)
Ni (0.250, 0.500, 0.500)



Entry 15:
Below is an optimized crystal structure of LiNi3Sb, with properties calculated at the GGA-PBEsol level.

Output
The calculation puts the uncorrected energy at -4.525 eV/atom. The value obtained for the formation energy (no corrections) is 474 meV/atom. Its total moment is 0.0 μB per formula unit.

abc: 3.958 3.958 3.958
angles: 90.00 90.00 90.00
Atoms (fractional coordinates):
Sb (0.500, 0.500, 0.500)
Li (0.000, 0.000, 0.000)
Ni (0.000, 0.500, 0.000)
Ni (0.000, 0.000, 0.500)
Ni (0.500, 0.000, 0.000)



Entry 16:
Below is an optimized crystal structure of LiScNi2, with properties calculated at the GGA-PBEsol level.

Output
The calculation puts the uncorrected energy at -5.375 eV/atom. For the formation enthalpy at 0 K, the calculation gives -0.153 eV/atom. Its total moment is 0.0 μB per formula unit.

abc: 4.178 4.178 4.178
angles: 60.00 60.00 60.00
Atoms (fractional coordinates):
Li (0.500, 0.500, 0.500)
Ni (0.000, 0.000, 0.000)
Ni (0.750, 0.750, 0.750)
Sc (0.250, 0.250, 0.250)



Entry 17:
Below is an optimized crystal structure of LiScNi2, with properties calculated at the GGA-PBEsol level.

Output
The calculation puts the uncorrected energy at -5.134 eV/atom. For the formation enthalpy at 0 K, the calculation gives 0.088 eV/atom. Its total moment is 0.0 μB per formula unit.

abc: 2.865 2.865 8.015
angles: 79.70 79.70 60.00
Atoms (fractional coordinates):
Li (0.000, 0.000, 0.000)
Ni (0.250, 0.250, 0.250)
Ni (0.750, 0.750, 0.750)
Sc (0.500, 0.500, 0.500)



Entry 18:
Below is an optimized crystal structure of LiSc2Ni2, with properties calculated at the GGA-PBEsol level.

Output
The calculation puts the uncorrected energy at -5.799 eV/atom. For the formation enthalpy at 0 K, the calculation gives -0.301 eV/atom. Its total moment is 0.0 μB per formula unit.

abc: 3.278 7.003 7.003
angles: 90.00 90.00 90.00
Atoms (fractional coordinates):
Sc (0.500, 0.164, 0.664)
Sc (0.500, 0.664, 0.836)
Sc (0.500, 0.836, 0.336)
Sc (0.500, 0.336, 0.164)
Ni (0.000, 0.371, 0.871)
Ni (0.000, 0.871, 0.629)
Ni (0.000, 0.629, 0.129)
Ni (0.000, 0.129, 0.371)
Li (0.000, 0.000, 0.000)
Li (0.000, 0.500, 0.500)



Entry 19:
Below is an optimized crystal structure of Li2ScNiTe, with properties calculated at the GGA-PBEsol level.

Output
The calculation puts the uncorrected energy at -4.282 eV/atom. The value obtained for the formation energy (no corrections) is -237 meV/atom. Its total moment is 0.0 μB per formula unit.

abc: 4.488 4.488 4.649
angles: 90.00 90.00 90.00
Atoms (fractional coordinates):
Sc (0.000, 0.000, 0.500)
Ni (0.000, 0.000, 0.000)
Te (0.500, 0.500, 0.500)
Li (0.000, 0.500, 0.000)
Li (0.500, 0.000, 0.000)



Entry 20:
Below is an optimized crystal structure of Li2SiNi, with properties calculated at the GGA-PBEsol level.

Output
The calculation puts the uncorrected energy at -4.259 eV/atom. The value obtained for the formation energy (no corrections) is -300 meV/atom. Its total moment is 0.0 μB per formula unit.

abc: 2.783 4.320 4.462
angles: 107.38 90.00 108.79
Atoms (fractional coordinates):
Ni (0.506, 0.012, 0.581)
Si (0.236, 0.472, 0.667)
Li (0.998, 0.996, 0.042)
Li (0.760, 0.521, 0.210)



Entry 21:
Below is an optimized crystal structure of Li2SiNi, with properties calculated at the GGA-PBEsol level.

Output
The calculation puts the uncorrected energy at -3.908 eV/atom. The value obtained for the formation energy (no corrections) is 51 meV/atom. Its total moment is 0.0 μB per formula unit.

abc: 4.492 5.339 5.339
angles: 79.81 65.12 65.12
Atoms (fractional coordinates):
Ni (0.750, 0.500, 0.500)
Ni (0.000, 0.000, 0.000)
Si (0.250, 0.500, 0.500)
Si (0.500, 0.000, 0.000)
Li (0.100, 0.025, 0.525)
Li (0.650, 0.975, 0.475)
Li (0.375, 0.525, 0.975)
Li (0.875, 0.475, 0.025)



Entry 22:
Below is an optimized crystal structure of Li2SiNi, with properties calculated at the GGA-PBEsol level.

Output
The calculation puts the uncorrected energy at -4.108 eV/atom. The value obtained for the formation energy (no corrections) is -149 meV/atom. Its total moment is 0.0 μB per formula unit.

abc: 2.565 4.649 4.670
angles: 119.86 90.00 90.00
Atoms (fractional coordinates):
Li (0.000, 0.500, 0.500)
Li (0.000, 0.000, 0.500)
Ni (0.500, 0.000, 0.000)
Si (0.500, 0.500, 0.000)



Entry 23:
Below is an optimized crystal structure of Li2SiNi, with properties calculated at the GGA-PBEsol level.

Output
The calculation puts the uncorrected energy at -4.181 eV/atom. The value obtained for the formation energy (no corrections) is -221 meV/atom. Its total moment is 0.0 μB per formula unit.

abc: 2.584 4.312 4.254
angles: 90.00 99.72 90.00
Atoms (fractional coordinates):
Li (0.734, 0.000, 0.754)
Li (0.266, 0.000, 0.246)
Ni (0.500, 0.500, 0.000)
Si (0.000, 0.500, 0.500)



Entry 24:
Below is an optimized crystal structure of Li2SiNi, with properties calculated at the GGA-PBEsol level.

Output
The calculation puts the uncorrected energy at -3.938 eV/atom. The value obtained for the formation energy (no corrections) is 22 meV/atom. Its total moment is 0.0 μB per formula unit.

abc: 2.584 2.584 8.595
angles: 81.35 81.35 60.00
Atoms (fractional coordinates):
Li (0.247, 0.247, 0.260)
Li (0.753, 0.753, 0.740)
Ni (0.500, 0.500, 0.500)
Si (0.000, 0.000, 0.000)



Entry 25:
Below is an optimized crystal structure of LiSiNi6, with properties calculated at the GGA-PBEsol level.

Output
The calculation puts the uncorrected energy at -5.821 eV/atom. The value obtained for the formation energy (no corrections) is -238 meV/atom. Its total moment is 1.7 μB per formula unit.

abc: 5.991 5.991 9.787
angles: 90.00 90.00 109.31
Each line ends with the local moment (μB).
Atoms (fractional coordinates):
Li (0.253, 0.747, 0.000)  -0.01
Li (0.747, 0.253, 0.000)  -0.01
Li (0.500, 0.500, 0.750)  -0.01
Li (0.500, 0.500, 0.250)  -0.01
Ni (0.249, 0.751, 0.747)  0.28
Ni (0.878, 0.629, 0.874)  0.37
Ni (0.122, 0.371, 0.874)  0.37
Ni (0.751, 0.249, 0.747)  0.28
Ni (0.371, 0.122, 0.874)  0.37
Ni (0.629, 0.878, 0.874)  0.37
Ni (0.500, 0.500, 0.500)  0.21
Ni (0.119, 0.370, 0.624)  0.23
Ni (0.370, 0.119, 0.624)  0.23
Ni (0.249, 0.751, 0.253)  0.28
Ni (0.881, 0.630, 0.376)  0.23
Ni (0.119, 0.370, 0.376)  0.23
Ni (0.751, 0.249, 0.253)  0.28
Ni (0.370, 0.119, 0.376)  0.23
Ni (0.630, 0.881, 0.376)  0.23
Ni (0.500, 0.500, 0.000)  0.47
Ni (0.122, 0.371, 0.126)  0.37
Ni (0.371, 0.122, 0.126)  0.37
Ni (0.000, 0.000, 0.500)  0.21
Ni (0.630, 0.881, 0.624)  0.23
Ni (0.881, 0.630, 0.624)  0.23
Ni (0.000, 0.000, 0.000)  0.35
Ni (0.629, 0.878, 0.126)  0.37
Ni (0.878, 0.629, 0.126)  0.37
Si (0.258, 0.742, 0.500)  -0.01
Si (0.742, 0.258, 0.500)  -0.01
Si (0.000, 0.000, 0.754)  -0.01
Si (0.000, 0.000, 0.246)  -0.01